(1)
This record from Alexandria via LeMat-Bulk describes a geometry-optimized Nd2Te2O structure. The functional is PBE-GGA.

Cell lengths 13.3722, 4.1216, 11.7130 Å; angles 90.00, 123.40, 90.00 degrees
With the nearest neighbours (Å) after each atom.
Space group C2/m (No. 12)
One atom of each set of equivalent atoms:
Nd  0.0169  0.0000  0.1688  1 O 2.41
Nd  0.1870  0.0000  0.5758  3 O 2.39-2.40
Te  0.0308  0.5000  0.6643  6 Nd 3.14-3.47, 1 Te 3.46
Te  0.1641  0.5000  0.0891  5 Nd 3.28-3.34
O  0.2081  0.0000  0.3851  4 Nd 2.39-2.41

Output
Formation energy from raw total energies ... -2.0980 eV/atom
M_tot ... 0.0 Bohr magnetons per cell

***

(2)
This record from Alexandria via LeMat-Bulk describes a geometry-optimized NaFe3C structure. The functional is PBE-GGA.

Cell lengths 3.8785, 3.8785, 3.8785 Å; angles 90.00, 90.00, 90.00 degrees
With the nearest neighbours (Å) after each atom.
Space group Pm-3m (No. 221)
One atom of each set of equivalent atoms:
Na  0.0000  0.0000  0.0000  12 Fe 2.74
Fe  0.0000  0.5000  0.5000  2 C 1.94
C  0.5000  0.5000  0.5000  6 Fe 1.94

Output
M_tot ... 5.1 Bohr magnetons per cell
Formation enthalpy at 0 K ... 437.6 meV per atom

***

(3)
This record from Alexandria via LeMat-Bulk describes a geometry-optimized Ac2TmGe3Pt4 structure. The functional is PBE-GGA.

Cell lengths 4.4536, 4.4536, 11.0299 Å; angles 90.00, 90.00, 90.00 degrees
With the nearest neighbours (Å) after each atom.
Space group P-4m2 (No. 115)
One atom of each set of equivalent atoms:
Ac  0.0000  0.5000  0.2311  8 Pt 3.39-3.41, 6 Ge 3.39-3.71, 2 Tm 3.71
Tm  0.0000  0.0000  0.5000  4 Pt 2.78
Ge  0.0000  0.5000  0.8814  5 Pt 2.54-2.58
Ge  0.5000  0.5000  0.5000  4 Pt 2.78
Pt  0.0000  0.0000  0.0000  4 Ge 2.58
Pt  0.0000  0.5000  0.6510  3 Ge 2.54-2.78, 2 Tm 2.78
Pt  0.5000  0.5000  0.0000  4 Ge 2.58

Output
M_tot ... 0.0 Bohr magnetons per cell
Formation enthalpy at 0 K ... -994.4 meV per atom

***

(4)
This record from Alexandria via LeMat-Bulk describes a geometry-optimized La8PrEr2 structure. The functional is PBE-GGA.

Cell lengths 5.7800, 8.3927, 16.3797 Å; angles 90.00, 90.00, 90.00 degrees
With the nearest neighbours (Å) after each atom.
Space group Immm (No. 71)
One atom of each set of equivalent atoms:
La  0.0000  0.0000  0.1631  8 La 3.64-3.86, 2 Er 3.64, 2 Pr 3.94
La  0.0000  0.1992  0.3624  4 La 3.34-3.67, 1 Pr 3.38, 3 Er 3.50-3.65
La  0.0000  0.2953  0.0000  7 La 3.44-3.66, 2 Er 3.72, 2 Pr 3.81
Pr  0.0000  0.5000  0.5000  4 La 3.38
Er  0.0000  0.5000  0.2013  10 La 3.50-3.72

Output
M_tot ... 0.0 Bohr magnetons per cell
Formation enthalpy at 0 K ... 96.3 meV per atom

***

(5)
This record from Alexandria via LeMat-Bulk describes a geometry-optimized V4ReOs2 structure. The functional is PBE-GGA.

Cell lengths 4.5137, 4.5137, 12.3565 Å; angles 90.00, 90.00, 90.00 degrees
With the nearest neighbours (Å) after each atom.
Space group I4/mmm (No. 139)
One atom of each set of equivalent atoms:
V  0.0000  0.0000  0.1987  1 Os 2.33, 1 Re 2.46
V  0.0000  0.5000  0.0000  2 Re 2.26
Re  0.0000  0.0000  0.0000  6 V 2.26-2.46
Os  0.0000  0.0000  0.3871  1 V 2.33

Output
M_tot ... 5.0 Bohr magnetons per cell
Formation enthalpy at 0 K ... 1163.9 meV per atom

***

(6)
This record from Alexandria via LeMat-Bulk describes a geometry-optimized HgTeH3 structure. The functional is PBE-GGA.

Cell lengths 4.1788, 4.1788, 4.1788 Å; angles 90.00, 90.00, 90.00 degrees
With the nearest neighbours (Å) after each atom.
Space group Pm-3m (No. 221)
One atom of each set of equivalent atoms:
Hg  0.0000  0.0000  0.0000  12 H 2.95
Te  0.5000  0.5000  0.5000  6 H 2.09
H  0.0000  0.5000  0.5000  2 Te 2.09

Output
Total energy ... -2.211 eV/atom
M_tot ... 0.0 Bohr magnetons per cell